Compound: PrNbNi2O6
Source: the Alexandria database
Functional: GGA+U
Structure: optimized geometry

The structure in POSCAR format:
```
PrNbNi2O6
1.0
-0.1927 -5.3250 -0.9258
4.3855 -3.0507 0.8435
0.0119 -3.5320 4.5088
Pr Nb Ni O
1 1 2 6
Cartesian
3.3350 -8.8342 2.7247
1.3119 -2.8379 0.2535
2.1799 -5.9123 1.9592
0.0788 -3.4956 4.2886
0.9760 -4.7330 0.6759
4.0295 -4.9541 1.5735
2.4408 -7.5663 0.6620
3.0856 -6.7608 3.6705
0.6175 -7.0007 2.8776
1.5497 -4.6630 3.5431
```

Space group: R3, No. 146
Theoretical density, g/cm³: 6.1
Calculated total energy, eV/atom: -7.121